1.
The following is a DFT calculation (PBE) of a relaxed VBi crystal.

## Properties
Its space group is P2_12_12_1 (19). The formation energy comes out at 0.9 eV per formula unit. For the magnetic moment, the calculation gives 0.0 μB/f.u.

```
16
Lattice="-1.681 -2.287 -6.651 0.928 -6.590 2.031 -7.166 -0.408 1.951" Properties=species:S:1:pos:R:3 pbc="T T T"
V -0.845 -1.931 -0.614
V -7.334 -3.784 -2.269
V -3.544 -6.766 -3.148
V -4.112 -6.090 0.694
V -3.908 -4.769 -1.436
V -2.762 -6.744 2.885
V -0.866 -1.201 -3.167
V -8.300 -5.856 -3.619
Bi -2.736 -2.675 -4.904
Bi -5.911 -3.674 0.173
Bi -1.867 -4.507 0.674
Bi -5.323 -7.713 -1.281
Bi -5.899 -6.411 2.784
Bi -1.104 -5.556 -2.652
Bi -5.368 -4.742 -3.965
Bi -3.465 -1.861 -1.505
```

---

2.
The following is a DFT calculation (PBE) of a relaxed VBi crystal.

## Properties
Its space group is Amm2 (38). The formation energy comes out at 0.7 eV per formula unit. For the magnetic moment, the calculation gives 0.0 μB/f.u.

```
12
Lattice="-1.652 2.106 -1.820 1.444 -7.360 -9.825 -5.668 -3.137 1.516" Properties=species:S:1:pos:R:3 pbc="T T T"
V -5.235 -6.246 -5.351
V -5.511 -4.840 -3.474
V -3.124 -0.998 -1.197
V -1.955 -6.952 -9.145
V -3.732 -2.065 0.998
V -0.176 -4.177 -4.672
Bi -3.773 -3.963 -1.160
Bi -2.993 -7.940 -6.468
Bi -0.217 -6.075 -6.830
Bi -0.881 -2.692 -2.314
Bi -1.005 0.954 -0.862
Bi -3.117 -4.294 -5.016
```

---

3.
The following is a DFT calculation (PBE) of a relaxed VBi crystal.

## Properties
Its space group is I-43m (217). The formation energy comes out at 1.2 eV per formula unit. For the magnetic moment, the calculation gives 0.0 μB/f.u.

```
16
Lattice="8.206 0.000 0.000 0.000 8.206 0.000 0.000 0.000 8.206" Properties=species:S:1:pos:R:3 pbc="T T T"
V 0.861 0.861 0.861
V 0.861 7.345 7.345
V 7.345 0.861 7.345
V 7.345 7.345 0.861
V 4.964 4.964 4.964
V 4.964 3.242 3.242
V 3.242 4.964 3.242
V 3.242 3.242 4.964
Bi 2.417 2.417 2.417
Bi 2.417 5.789 5.789
Bi 5.789 2.417 5.789
Bi 5.789 5.789 2.417
Bi 6.520 6.520 6.520
Bi 6.520 1.686 1.686
Bi 1.686 6.520 1.686
Bi 1.686 1.686 6.520
```

---

4.
The following is a DFT calculation (PBE) of a relaxed VBi crystal.

## Properties
Its space group is I4/m (87). The formation energy comes out at 1.2 eV per formula unit. For the magnetic moment, the calculation gives 0.0 μB/f.u.

```
16
Lattice="-11.918 -0.814 -0.553 0.984 -9.815 -6.760 0.002 -1.854 2.693" Properties=species:S:1:pos:R:3 pbc="T T T"
V -3.056 -7.840 -5.398
V -7.878 -2.789 -1.915
V -2.400 -3.328 -2.290
V -8.535 -7.301 -5.023
V -9.506 -4.267 -0.947
V -1.426 -8.217 -3.673
V -7.866 -9.570 -4.601
V -3.067 -2.914 -0.020
Bi -5.103 -2.933 -2.017
Bi -5.831 -7.696 -5.296
Bi -8.358 -5.016 -3.449
Bi -2.576 -5.613 -3.864
Bi -10.570 -9.175 -4.327
Bi -0.363 -3.308 -0.293
Bi -1.906 -10.444 -5.206
Bi -9.026 -2.040 0.586
```

---

5.
The following is a DFT calculation (PBE) of a relaxed VBi crystal.

## Properties
Its space group is Pnma (62). The formation energy comes out at 0.6 eV per formula unit. For the magnetic moment, the calculation gives 0.0 μB/f.u.

```
8
Lattice="-2.267 -1.431 2.070 -2.115 -3.817 -4.954 5.083 -5.292 1.908" Properties=species:S:1:pos:R:3 pbc="T T T"
V 2.693 -8.895 -1.813
V -1.991 -1.645 0.838
V 0.108 -5.089 0.757
V 0.593 -5.451 -1.732
Bi 2.626 -6.299 -0.092
Bi -1.925 -4.241 -0.883
Bi -0.165 -8.298 -1.759
Bi 0.866 -2.242 0.784
```

---

6.
The following is a DFT calculation (PBE) of a relaxed VBi crystal.

## Properties
Its space group is F-43m (216). The formation energy comes out at 1.8 eV per formula unit. For the magnetic moment, the calculation gives 2.0 μB/f.u.

```
8
Lattice="6.348 0.000 0.000 0.000 6.348 0.000 0.000 0.000 6.348" Properties=species:S:1:pos:R:3 pbc="T T T"
V 1.587 1.587 1.587
V 1.587 4.761 4.761
V 4.761 1.587 4.761
V 4.761 4.761 1.587
Bi 0.000 0.000 0.000
Bi 0.000 3.174 3.174
Bi 3.174 0.000 3.174
Bi 3.174 3.174 0.000
```

---

7.
The following is a DFT calculation (PBE) of a relaxed VBi crystal.

## Properties
Its space group is Pmmn (59). The formation energy comes out at 0.7 eV per formula unit. For the magnetic moment, the calculation gives 0.1 μB/f.u.

```
12
Lattice="3.309 0.000 0.000 0.000 6.547 0.000 0.000 0.000 12.825" Properties=species:S:1:pos:R:3 pbc="T T T"
V 0.000 0.031 7.555
V 1.655 6.516 11.682
V 1.655 6.516 1.143
V 0.000 0.031 5.269
V 0.000 4.993 0.000
V 1.655 1.554 6.412
Bi 0.000 4.787 9.953
Bi 1.655 1.760 9.284
Bi 1.655 1.760 3.541
Bi 0.000 4.787 2.872
Bi 0.000 3.978 6.412
Bi 1.655 2.569 0.000
```

---

8.
The following is a DFT calculation (PBE) of a relaxed V4Bi crystal.

## Properties
Its space group is Pm-3m (221). The formation energy comes out at 10.3 eV per formula unit. For the magnetic moment, the calculation gives 14.0 μB/f.u.

```
5
Lattice="-4.890 1.723 -0.438 -1.380 -4.487 -2.245 -1.121 -1.994 4.674" Properties=species:S:1:pos:R:3 pbc="T T T"
Bi -3.696 -2.379 0.995
V 0.000 0.000 0.000
V -3.006 -0.135 2.118
V -1.250 -3.240 1.214
V -3.135 -1.382 -1.342
```

---

9.
The following is a DFT calculation (PBE) of a relaxed V3BiW crystal.

## Properties
Its space group is Pm-3m (221). For the relative energy among the computed polymorphs, the calculation gives 1096 meV/atom. The formation energy comes out at 11.4 eV per formula unit. For the magnetic moment, the calculation gives 4.8 μB/f.u.

```
5
Lattice="4.962 0.000 0.000 0.000 4.962 0.000 0.000 0.000 4.962" Properties=species:S:1:pos:R:3 pbc="T T T"
Bi 0.000 0.000 0.000
W 2.481 2.481 2.481
V 0.000 2.481 0.000
V 0.000 0.000 2.481
V 2.481 0.000 0.000
```

---

10.
The following is a DFT calculation (PBE) of a relaxed V3BiW crystal.

## Properties
Its space group is Pm-3m (221). For the relative energy among the computed polymorphs, the calculation gives 0 meV/atom. The formation energy comes out at 5.9 eV per formula unit. For the magnetic moment, the calculation gives 0.0 μB/f.u.

```
5
Lattice="4.678 0.000 0.000 0.000 4.678 0.000 0.000 0.000 4.678" Properties=species:S:1:pos:R:3 pbc="T T T"
Bi 2.339 2.339 2.339
W 0.000 0.000 0.000
V 0.000 2.339 0.000
V 0.000 0.000 2.339
V 2.339 0.000 0.000
```

---

11.
The following is a DFT calculation (PBE) of a relaxed V2ZnBiW crystal.

## Properties
Its space group is P4/mmm (123). The formation energy comes out at 9.1 eV per formula unit. For the magnetic moment, the calculation gives 1.9 μB/f.u.

```
5
Lattice="4.486 0.000 0.000 0.000 5.018 0.000 0.000 0.000 4.486" Properties=species:S:1:pos:R:3 pbc="T T T"
Zn 0.000 0.000 0.000
Bi 0.000 2.509 0.000
W 2.243 2.509 2.243
V 0.000 0.000 2.243
V 2.243 0.000 0.000
```

---

12.
The following is a DFT calculation (PBE) of a relaxed Y3VBi crystal.

## Properties
Its space group is Pm-3m (221). For the relative energy among the computed polymorphs, the calculation gives 0 meV/atom. The formation energy comes out at 1.2 eV per formula unit. For the magnetic moment, the calculation gives 0.0 μB/f.u.

```
5
Lattice="5.270 0.000 0.000 0.000 5.270 0.000 0.000 0.000 5.270" Properties=species:S:1:pos:R:3 pbc="T T T"
Y 0.000 2.635 0.000
Y 0.000 0.000 2.635
Y 2.635 0.000 0.000
Bi 2.635 2.635 2.635
V 0.000 0.000 0.000
```

---

13.
The following is a DFT calculation (PBE) of a relaxed YV3Bi crystal.

## Properties
Its space group is Pm-3m (221). For the relative energy among the computed polymorphs, the calculation gives 498 meV/atom. The formation energy comes out at 8.9 eV per formula unit. For the magnetic moment, the calculation gives 6.5 μB/f.u.

```
5
Lattice="-0.495 2.420 -4.244 1.194 -4.076 -2.464 -4.737 -1.280 -0.177" Properties=species:S:1:pos:R:3 pbc="T T T"
Y 0.000 0.000 0.000
Bi -2.020 -1.468 -3.442
V 0.597 -2.038 -1.232
V -2.369 -0.640 -0.089
V -0.248 1.210 -2.122
```

---

14.
The following is a DFT calculation (PBE) of a relaxed Y2VBi2 crystal.

## Properties
Its space group is P4/mbm (127). The formation energy comes out at -1.5 eV per formula unit. For the magnetic moment, the calculation gives 2.9 μB/f.u.

```
10
Lattice="7.864 0.000 0.000 0.000 7.864 0.000 0.000 0.000 4.408" Properties=species:S:1:pos:R:3 pbc="T T T"
Y 1.246 5.178 2.204
Y 5.178 6.618 2.204
Y 6.618 2.686 2.204
Y 2.686 1.246 2.204
Bi 2.737 6.669 0.000
Bi 6.669 5.128 0.000
Bi 5.128 1.195 0.000
Bi 1.195 2.737 0.000
V 0.000 0.000 0.000
V 3.932 3.932 0.000
```

---

15.
The following is a DFT calculation (PBE) of a relaxed YV3Bi crystal.

## Properties
Its space group is Pm-3m (221). For the relative energy among the computed polymorphs, the calculation gives 0 meV/atom. The formation energy comes out at 6.4 eV per formula unit. For the magnetic moment, the calculation gives 8.9 μB/f.u.

```
5
Lattice="5.147 0.000 0.000 0.000 5.147 0.000 0.000 0.000 5.147" Properties=species:S:1:pos:R:3 pbc="T T T"
Y 2.573 2.573 2.573
Bi 0.000 0.000 0.000
V 0.000 2.573 0.000
V 0.000 0.000 2.573
V 2.573 0.000 0.000
```

---

16.
The following is a DFT calculation (PBE) of a relaxed Y2VBi crystal.

## Properties
Its space group is I-42d (122). The formation energy comes out at 1.2 eV per formula unit. For the magnetic moment, the calculation gives 3.5 μB/f.u.

```
8
Lattice="-4.774 -4.324 -5.060 5.759 -5.807 -0.471 -0.880 -6.640 -0.126" Properties=species:S:1:pos:R:3 pbc="T T T"
Y -2.384 -4.998 -3.147
Y 2.682 -5.920 -1.065
Y -0.170 -8.901 -2.179
Y 0.081 -13.723 -4.925
Bi 0.000 0.000 0.000
Bi -2.581 -8.015 -3.976
V 0.492 -5.065 -2.766
V 2.686 -8.756 -1.681
```

---

17.
The following is a DFT calculation (PBE) of a relaxed YV2Bi crystal.

## Properties
Its space group is I-42d (122). The formation energy comes out at 3.2 eV per formula unit. For the magnetic moment, the calculation gives 6.3 μB/f.u.

```
8
Lattice="-4.444 -3.759 5.640 -4.953 -2.803 -5.770 -2.945 -5.787 -0.353" Properties=species:S:1:pos:R:3 pbc="T T T"
Y -4.698 -3.281 -0.065
Y -6.298 -5.936 -3.094
Bi 0.000 0.000 0.000
Bi -6.043 -6.413 2.611
V -4.272 -4.264 2.893
V -4.248 -3.551 -3.167
V -5.577 -6.713 -0.133
V -10.586 -10.170 -0.560
```

---

18.
The following is a DFT calculation (PBE) of a relaxed YVBi2 crystal.

## Properties
Its space group is Fm-3m (225). For the relative energy among the computed polymorphs, the calculation gives 0 meV/atom. The formation energy comes out at -0.2 eV per formula unit. For the magnetic moment, the calculation gives 2.7 μB/f.u.

```
4
Lattice="0.000 3.736 3.736 3.736 0.000 3.736 3.736 3.736 0.000" Properties=species:S:1:pos:R:3 pbc="T T T"
Y 3.736 3.736 3.736
Bi 1.868 1.868 1.868
Bi 5.604 5.604 5.604
V 0.000 0.000 0.000
```

---

19.
The following is a DFT calculation (PBE) of a relaxed YVBi2 crystal.

## Properties
Its space group is I-42d (122). For the relative energy among the computed polymorphs, the calculation gives 333 meV/atom. The formation energy comes out at 1.2 eV per formula unit. For the magnetic moment, the calculation gives 2.0 μB/f.u.

```
8
Lattice="6.485 0.000 0.000 0.000 6.485 0.000 3.243 3.243 7.136" Properties=species:S:1:pos:R:3 pbc="T T T"
Y 0.000 0.000 0.000
Y 6.485 3.243 3.568
Bi 4.549 1.621 1.784
Bi 1.937 4.864 1.784
Bi 4.864 5.180 5.352
Bi 8.107 7.791 5.352
V 3.243 3.243 0.000
V 3.243 6.485 3.568
```

---

20.
The following is a DFT calculation (PBE) of a relaxed VZnBi3 crystal.

## Properties
Its space group is Pm-3m (221). For the relative energy among the computed polymorphs, the calculation gives 429 meV/atom. The formation energy comes out at 4.4 eV per formula unit. For the magnetic moment, the calculation gives 3.8 μB/f.u.

```
5
Lattice="-2.909 3.807 -2.388 -3.461 -3.713 -1.702 -2.866 0.619 4.479" Properties=species:S:1:pos:R:3 pbc="T T T"
Zn 0.000 0.000 0.000
Bi -1.731 -1.856 -0.851
Bi -1.433 0.309 2.240
Bi -1.455 1.904 -1.194
V -4.618 0.357 0.195
```